# 1
SrHg2S3 | PBE-GGA | relaxed

a = 6.272 Å, b = 11.800 Å, c = 4.521 Å
α = 90.00°, β = 90.00°, γ = 90.00°
Space group Pmmn (No. 59, origin choice 2)
Asymmetric unit:
Sr (0.250, 0.250, 0.076)
Hg (0.250, 0.586, 0.319)
S (0.250, 0.090, 0.574)
S (0.250, 0.750, 0.990)

Output
Total energy, eV per formula unit: -19.13
Magnetization, Bohr magnetons per cell: 0.0
Raw formation energy, eV per atom: -0.74

# 2
Sr2HgS2 | PBE-GGA | relaxed

a = 5.612 Å, b = 5.612 Å, c = 12.477 Å
α = 90.00°, β = 90.00°, γ = 90.00°
Space group I4/mmm (No. 139)
Asymmetric unit:
Sr (0.000, 0.500, 0.250)
Hg (0.000, 0.000, 0.000)
S (0.000, 0.000, 0.310)

Output
Total energy, eV per formula unit: -18.73
Energy relative to the lowest polymorph listed for this composition, eV/atom: 0.082
Magnetization, Bohr magnetons per cell: 0.0
DOS at the Fermi energy, states/eV/cell: 0.00
Raw formation energy, eV per atom: -1.36

# 3
SrHgS2 | PBE-GGA | relaxed

a = 7.350 Å, b = 4.050 Å, c = 13.858 Å
α = 90.00°, β = 90.00°, γ = 90.00°
Space group Pnma (No. 62)
Asymmetric unit:
Sr (0.140, 0.250, 0.152)
Hg (0.140, 0.750, 0.403)
S (0.080, 0.250, 0.731)
S (0.204, 0.750, 0.980)

Output
Total energy, eV per formula unit: -14.69
Magnetization, Bohr magnetons per cell: 0.0
DOS at the Fermi energy, states/eV/cell: 0.00
Raw formation energy, eV per atom: -1.11

# 4
SrHgS2 | PBE-GGA | relaxed

a = 4.4839 Å, b = 4.4839 Å, c = 21.9932 Å
α = 90.00°, β = 90.00°, γ = 120.00°
Space group R3m (No. 160, hexagonal axes)
Asymmetric unit:
Sr (0.0000, 0.0000, 0.0000)
Hg (0.0000, 0.0000, 0.4993)
S (0.0000, 0.0000, 0.3818)
S (0.0000, 0.0000, 0.8670)

Output
Total energy, eV per formula unit: -14.04
Magnetization, Bohr magnetons per cell: 0.0
DOS at the Fermi energy, states/eV/cell: 0.00
Raw formation energy, eV per atom: -0.95

# 5
SrHgS2 | PBE-GGA | relaxed

a = 6.814 Å, b = 7.605 Å, c = 4.464 Å
α = 90.00°, β = 90.00°, γ = 90.00°
Space group Pnnm (No. 58)
Asymmetric unit:
Sr (0.000, 0.000, 0.000)
Hg (0.000, 0.500, 0.000)
S (0.222, 0.187, 0.500)

Output
Total energy, eV per formula unit: -14.89
Magnetization, Bohr magnetons per cell: 0.0
DOS at the Fermi energy, states/eV/cell: 0.00
Raw formation energy, eV per atom: -1.16

# 6
Sr2Hg2S | PBE-GGA | relaxed

a = 8.058 Å, b = 8.058 Å, c = 5.297 Å
α = 90.00°, β = 90.00°, γ = 90.00°
Space group P4/mbm (No. 127)
Asymmetric unit:
Sr (0.190, 0.310, 0.000)
Hg (0.128, 0.628, 0.500)
S (0.000, 0.000, 0.000)

Output
Total energy, eV per formula unit: -12.10
Magnetization, Bohr magnetons per cell: 0.0
DOS at the Fermi energy, states/eV/cell: 5.88
Raw formation energy, eV per atom: -0.80

# 7
SrHgS2 | PBE-GGA | relaxed

a = 7.736 Å, b = 9.889 Å, c = 6.172 Å
α = 90.00°, β = 90.00°, γ = 90.00°
Space group Pna2_1 (No. 33)
Asymmetric unit:
Sr (0.115, 0.120, 0.000)
Hg (0.051, 0.638, 0.964)
S (0.018, 0.609, 0.530)
S (0.092, 0.133, 0.508)

Output
Total energy, eV per formula unit: -14.34
Magnetization, Bohr magnetons per cell: 0.0
DOS at the Fermi energy, states/eV/cell: 0.00
Raw formation energy, eV per atom: -1.03

# 8
SrHgS2 | PBE-GGA | relaxed

a = 4.099 Å, b = 19.689 Å, c = 5.896 Å
α = 90.00°, β = 90.00°, γ = 90.00°
Space group Cmcm (No. 63)
Asymmetric unit:
Sr (0.000, 0.076, 0.250)
Hg (0.000, 0.330, 0.250)
S (0.000, 0.075, 0.750)
S (0.000, 0.209, 0.250)

Output
Total energy, eV per formula unit: -12.59
Magnetization, Bohr magnetons per cell: 0.0
DOS at the Fermi energy, states/eV/cell: 0.14
Raw formation energy, eV per atom: -0.59